# 1
! GGA-PBE Re5Os2, optimized geometry; values from VASP
&SYSTEM
  ibrav = 0, nat = 7, ntyp = 2
/
ATOMIC_SPECIES
Re 186.21 Re.upf
Os 190.23 Os.upf
CELL_PARAMETERS angstrom
2.199 1.270 6.301
-2.199 1.270 6.301
0.000 -2.539 6.301
ATOMIC_POSITIONS crystal
Re 0.000 0.000 0.000
Re 0.140 0.140 0.140
Re 0.432 0.432 0.432
Re 0.568 0.568 0.568
Re 0.860 0.860 0.860
Os 0.290 0.290 0.290
Os 0.710 0.710 0.710
! V = 15.08 Å³ per atom
! Polymorph energy (0 for the lowest one) = 396 meV/atom
! Total magnetization = 0.00 μB per atom
! Space-group type = R-3m
! Formation energy = 322 kJ/mol of formula units



# 2
! GGA-PBE Ti4S3N2, optimized geometry; values from VASP
&SYSTEM
  ibrav = 0, nat = 9, ntyp = 3
/
ATOMIC_SPECIES
Ti 47.87 Ti.upf
S 32.06 S.upf
N 14.01 N.upf
CELL_PARAMETERS angstrom
5.645 -1.697 0.000
5.645 1.697 0.000
-4.797 0.000 7.039
ATOMIC_POSITIONS crystal
Ti 0.060 0.060 0.354
Ti 0.292 0.292 0.153
Ti 0.708 0.708 0.847
Ti 0.940 0.940 0.646
S 0.310 0.310 0.711
S 0.500 0.500 0.500
S 0.690 0.690 0.289
N 0.125 0.125 0.885
N 0.875 0.875 0.115
! V = 14.98 Å³ per atom
! Total magnetization = 0.00 μB per atom
! Formation energy (no corrections) = -1.38 eV per atom
! Space-group type = C2/m



# 3
! GGA-PBE TcPbCl2, optimized geometry; values from VASP
&SYSTEM
  ibrav = 0, nat = 4, ntyp = 3
/
ATOMIC_SPECIES
Tc 98.00 Tc.upf
Pb 207.20 Pb.upf
Cl 35.45 Cl.upf
CELL_PARAMETERS angstrom
3.433 0.000 0.000
0.000 4.301 0.000
-0.674 0.000 5.793
ATOMIC_POSITIONS crystal
Tc 0.000 0.000 0.000
Pb 0.500 0.000 0.500
Cl 0.130 0.500 0.780
Cl 0.870 0.500 0.220
! V = 21.38 Å³ per atom
! Polymorph energy (0 for the lowest one) = 336 meV/atom
! Total magnetization = 0.50 μB per atom
! Formation energy (no corrections) = 0.17 eV per atom
! Space-group type = P2/m



# 4
! GGA-PBE MgCSe2, optimized geometry; values from VASP
&SYSTEM
  ibrav = 0, nat = 8, ntyp = 3
/
ATOMIC_SPECIES
Mg 24.30 Mg.upf
C 12.01 C.upf
Se 78.96 Se.upf
CELL_PARAMETERS angstrom
-2.722 2.722 5.832
2.722 -2.722 5.832
2.722 2.722 -5.832
ATOMIC_POSITIONS crystal
Mg 0.000 0.000 0.000
Mg 0.750 0.250 0.500
C 0.250 0.750 0.500
C 0.500 0.500 0.000
Se 0.189 0.625 0.064
Se 0.375 0.439 0.564
Se 0.561 0.125 0.936
Se 0.875 0.811 0.436
! V = 21.61 Å³ per atom
! Polymorph energy (0 for the lowest one) = 0 meV/atom
! Total magnetization = 0.00 μB per atom
! Formation energy (no corrections) = 0.53 eV per atom
! Space-group type = I-42d



Which of these has the highest V?
MgCSe2



Which formula does entry 4 have?
MgCSe2



Copy entry 3 word for word.
! GGA-PBE TcPbCl2, optimized geometry; values from VASP
&SYSTEM
  ibrav = 0, nat = 4, ntyp = 3
/
ATOMIC_SPECIES
Tc 98.00 Tc.upf
Pb 207.20 Pb.upf
Cl 35.45 Cl.upf
CELL_PARAMETERS angstrom
3.433 0.000 0.000
0.000 4.301 0.000
-0.674 0.000 5.793
ATOMIC_POSITIONS crystal
Tc 0.000 0.000 0.000
Pb 0.500 0.000 0.500
Cl 0.130 0.500 0.780
Cl 0.870 0.500 0.220
! V = 21.38 Å³ per atom
! Polymorph energy (0 for the lowest one) = 336 meV/atom
! Total magnetization = 0.50 μB per atom
! Formation energy (no corrections) = 0.17 eV per atom
! Space-group type = P2/m